[1]
Crystalline La4Ho4Mg at its relaxed geometry. Source: Alexandria via LeMat-Bulk, functional GGA-PBE.

a = 6.7868 Å, b = 8.5637 Å, c = 10.9141 Å
α = 89.49°, β = 75.13°, γ = 76.94°
Space group P-1 (No. 2)
One atom of each set of equivalent atoms:
La1 0.0480 0.1885 0.1673
La2 0.2682 0.4655 0.6156
La3 0.3908 0.8542 0.9380
La4 0.4064 0.8582 0.6015
Ho1 0.0391 0.1924 0.4952
Ho2 0.0621 0.1962 0.8212
Ho3 0.2725 0.4709 0.9578
Ho4 0.2844 0.4867 0.2808
Mg1 0.3863 0.8548 0.2690

Computed properties:
For the mass density, the calculation gives 6.90 Mg/m³. The formation energy comes out at 0.013 eV per atom. The final energy is -79.00 eV/cell. As for the spin magnetization: 0.00 μB per atom.

[2]
Crystalline La8Ho2Mg3 at its relaxed geometry. Source: Alexandria via LeMat-Bulk, functional GGA-PBE.

a = 6.6599 Å, b = 5.5483 Å, c = 11.9599 Å
α = 90.00°, β = 91.71°, γ = 90.00°
Space group P2/m (No. 10)
One atom of each set of equivalent atoms:
La1 0.0903 0.0000 0.1550
La2 0.1524 0.5000 0.6249
La3 0.2401 0.5000 0.9357
La4 0.2516 0.0000 0.4412
Ho1 0.3846 0.0000 0.7461
Mg1 0.3412 0.5000 0.2532
Mg2 0.5000 0.0000 0.0000

Computed properties:
For the mass density, the calculation gives 5.69 Mg/m³. The formation energy comes out at 0.052 eV per atom. The final energy is -52.69 eV/cell. As for the spin magnetization: 0.00 μB per atom.

[3]
Crystalline LaHo3Mg4 at its relaxed geometry. Source: Alexandria via LeMat-Bulk, functional GGA-PBE.

a = 5.3961 Å, b = 5.3961 Å, c = 7.6580 Å
α = 90.00°, β = 90.00°, γ = 90.00°
Space group P4/mmm (No. 123)
One atom of each set of equivalent atoms:
La1 0.0000 0.0000 0.0000
Ho1 0.0000 0.0000 0.5000
Ho2 0.5000 0.5000 0.0000
Ho3 0.5000 0.5000 0.5000
Mg1 0.0000 0.5000 0.2578

Computed properties:
For the mass density, the calculation gives 5.44 Mg/m³. The formation energy comes out at -0.081 eV per atom. The final energy is -25.69 eV/cell. As for the spin magnetization: 0.00 μB per atom.

[4]
Crystalline LaHoMg at its relaxed geometry. Source: Alexandria via LeMat-Bulk, functional GGA-PBE.

a = 3.7831 Å, b = 3.7831 Å, c = 12.9791 Å
α = 90.00°, β = 90.00°, γ = 90.00°
Space group I4mm (No. 107)
One atom of each set of equivalent atoms:
La1 0.0000 0.0000 0.0000
Ho1 0.0000 0.0000 0.3143
Mg1 0.0000 0.0000 0.6684

Computed properties:
For the mass density, the calculation gives 5.87 Mg/m³. The formation energy comes out at -0.038 eV per atom. The calculation puts the distance to the lowest polymorph of the same formula at 0.02 eV per formula unit. The final energy is -22.43 eV/cell. As for the spin magnetization: 0.10 μB per atom.